Record 1
Density functional theory data (PBE-GGA) for a geometry-optimized K2CoP structure.

The space group is C2/m (No. 12) and the conventional cell measures 10.9522, 4.2765 and 4.2920 Å, with angles of 90.00, 112.93 and 90.00 degrees. The distinct sites, in fractional coordinates, are K at (0.2495, 0.0000, 0.2492), Co at (0.0000, 0.5000, 0.0000) and P at (0.0000, 0.0000, 0.5000).

As for the formation enthalpy at 0 K: 64.4 kJ/mol of atoms.

Record 2
Density functional theory data (PBE-GGA) for a geometry-optimized AcEuCdRh structure.

The space group is F-43m (No. 216) and the conventional cell measures 7.5990, 7.5990 and 7.5990 Å, with angles of 90.00, 90.00 and 90.00 degrees. The distinct sites, in fractional coordinates, are Ac at (0.0000, 0.0000, 0.0000), Eu at (0.0000, 0.0000, 0.5000), Cd at (0.2500, 0.2500, 0.2500) and Rh at (0.2500, 0.2500, 0.7500).

As for the formation enthalpy at 0 K: -31.7 kJ/mol of atoms.

Record 3
Density functional theory data (PBE-GGA) for a geometry-optimized TaMo4Se8 structure.

The space group is R-3m (No. 166, hexagonal axes) and the conventional cell measures 7.0862, 7.0862 and 18.3504 Å, with angles of 90.00, 90.00 and 120.00 degrees. The distinct sites, in fractional coordinates, are Ta at (0.0000, 0.0000, 0.0000), Mo at (0.0000, 0.0000, 0.5000), Mo at (0.0000, 0.5000, 0.5000), Se at (0.0000, 0.0000, 0.2528) and Se at (0.0111, 0.5056, 0.2549).

The value obtained for the raw formation energy is -0.186 eV per atom.

Record 4
Density functional theory data (PBE-GGA) for a geometry-optimized Ba2LiAlPd6 structure.

The space group is P-1 (No. 2) and the conventional cell measures 6.5691, 6.6204 and 6.8252 Å, with angles of 61.82, 61.61 and 60.47 degrees. The distinct sites, in fractional coordinates, are Ba at (0.2178, 0.2181, 0.3469), Li at (0.0000, 0.0000, 0.0000), Al at (0.5000, 0.5000, 0.5000), Pd at (0.2470, 0.2469, 0.8354), Pd at (0.2475, 0.6649, 0.8400) and Pd at (0.3315, 0.7545, 0.1627).

As for the formation enthalpy at 0 K: -45.1 kJ/mol of atoms.

Record 5
Density functional theory data (PBE-GGA) for a geometry-optimized Y5CdHg3 structure.

The space group is P6_3/mcm (No. 193) and the conventional cell measures 9.1755, 9.1755 and 6.6611 Å, with angles of 90.00, 90.00 and 120.00 degrees. The distinct sites, in fractional coordinates, are Y at (0.0000, 0.2957, 0.2500), Y at (0.3333, 0.6667, 0.0000), Cd at (0.0000, 0.0000, 0.0000) and Hg at (0.0000, 0.3721, 0.7500).

As for the formation enthalpy at 0 K: -37.2 kJ/mol of atoms.

Record 6
Density functional theory data (PBE-GGA) for a geometry-optimized Pm5PrSc3 structure.

The space group is C2/m (No. 12) and the conventional cell measures 14.8127, 11.4385 and 9.6360 Å, with angles of 90.00, 129.70 and 90.00 degrees. The distinct sites, in fractional coordinates, are Pm at (0.0000, 0.2465, 0.0000), Pm at (0.1334, 0.2470, 0.7357), Pm at (0.2288, 0.0000, 0.2343), Pm at (0.2473, 0.0000, 0.5838), Pr at (0.2241, 0.5000, 0.0478), Sc at (0.0000, 0.0000, 0.5000), Sc at (0.0000, 0.5000, 0.0000), Sc at (0.0055, 0.0000, 0.8236) and Sc at (0.0138, 0.5000, 0.3552).

As for the formation enthalpy at 0 K: 42.6 kJ/mol of atoms.

Taking the records one at a time from the top gives total magnetic moment values of 1.9; 7.0; 1.5; 0.0; 0.0; 0.0 μB per formula unit.
Taking the records one at a time from the top gives Fermi-level density of states values of 0.722; 2.080; 1.043; 0.307; 1.271; 1.545 states/eV per atom.